Entry 1:
## MgSc5 (PBE)

Data for a geometry-optimized MgSc5 structure.

abc: 6.1506 6.1506 7.7144
angles: 76.17 76.17 30.93
Last column: magnetic moment on the atom in μB.
Sites, in units of the cell vectors:
Mg1 0.0029 0.0029 0.9995  0.00
Sc1 0.2825 0.2825 0.9432  0.19
Sc2 0.6137 0.6137 0.2785  0.05
Sc3 0.6639 0.6639 0.6687  0.10
Sc4 0.3309 0.3309 0.3369  0.08
Sc5 0.9394 0.9394 0.6065  0.03

The space group is Cm (8). The calculation puts the density of states at the Fermi level at 10.2 states/eV/f.u. For the total energy, the calculation gives -5.539 eV per atom.

=====

Entry 2:
## Ac4HgRu (PBE)

Data for a geometry-optimized Ac4HgRu structure.

abc: 10.4784 10.4784 10.4784
angles: 60.00 60.00 60.00
Sites, in units of the cell vectors:
Ac1 0.8102 0.8102 0.1898
Ac2 0.5606 0.9394 0.9394
Ac3 0.4037 0.7888 0.4037
Ac4 0.5606 0.9394 0.5606
Ru1 0.6125 0.6125 0.6125
Ru2 0.6125 0.1626 0.6125
Ac5 0.7888 0.4037 0.4037
Ac6 0.1898 0.8102 0.8102
Ac7 0.9394 0.9394 0.5606
Ac8 0.4037 0.4037 0.4037
Ac9 0.9394 0.5606 0.5606
Hg1 0.1669 0.1669 0.4992
Hg2 0.1669 0.4992 0.1669
Ac10 0.5606 0.5606 0.9394
Ac11 0.9394 0.5606 0.9394
Hg3 0.1669 0.1669 0.1669
Ac12 0.8102 0.1898 0.1898
Ac13 0.1898 0.1898 0.8102
Ru3 0.1626 0.6125 0.6125
Ac14 0.1898 0.8102 0.1898
Ru4 0.6125 0.6125 0.1626
Ac15 0.4037 0.4037 0.7888
Hg4 0.4992 0.1669 0.1669
Ac16 0.8102 0.1898 0.8102

The space group is F-43m (216). The calculation puts the density of states at the Fermi level at 5.4 states/eV/f.u. For the total energy, the calculation gives -4.598 eV per atom.

=====

Entry 3:
## BC5 (PBE)

Data for a geometry-optimized BC5 structure.

abc: 2.5191 4.5177 6.3579
angles: 90.85 90.00 90.00
Sites, in units of the cell vectors:
C1 0.0000 0.0066 0.2477
C2 0.5000 0.8469 0.3332
C3 0.0000 0.3153 0.3465
C4 0.5000 0.4993 0.9958
C5 0.0000 0.0013 0.0003
B1 0.0000 0.6556 0.6703
C6 0.5000 0.1600 0.6690
C7 0.0000 0.3197 0.5835
C8 0.5000 0.8513 0.5702
B2 0.5000 0.5110 0.2464
C9 0.0000 0.6674 0.9209
C10 0.5000 0.1654 0.9164

The space group is P2_1/m (11). The calculation puts the density of states at the Fermi level at 0.9 states/eV/f.u. For the total energy, the calculation gives -8.542 eV per atom.

=====

Entry 4:
## Pm4SmHo2 (PBE)

Data for a geometry-optimized Pm4SmHo2 structure.

abc: 12.5470 12.5470 6.8114
angles: 97.03 97.03 150.12
Sites, in units of the cell vectors:
Pm1 0.7148 0.1779 0.8688
Pm2 0.5591 0.5961 0.1313
Pm3 0.1779 0.7148 0.3688
Pm4 0.5961 0.5591 0.6313
Pm5 0.7935 0.1854 0.3990
Sm1 0.6754 0.4255 0.0005
Pm6 0.1854 0.7935 0.8990
Sm2 0.4255 0.6754 0.5005
Pm7 0.0363 0.1444 0.6012
Ho1 0.1050 0.9235 0.5520
Ho2 0.3029 0.6215 0.9486
Ho3 0.6215 0.3029 0.4486
Ho4 0.9235 0.1050 0.0520
Pm8 0.1444 0.0363 0.1012

The space group is Fdd2 (43). The calculation puts the density of states at the Fermi level at 10.5 states/eV/f.u. For the total energy, the calculation gives -4.639 eV per atom.

=====

Entry 5:
## La2TbY5Tm (PBE)

Data for a geometry-optimized La2TbY5Tm structure.

abc: 5.6670 10.4799 10.6691
angles: 90.00 90.00 105.69
Sites, in units of the cell vectors:
La1 0.8851 0.7703 0.8191
Y1 0.2786 0.5573 0.3128
Y2 0.3003 0.6007 0.7037
Y3 0.9847 0.9694 0.5212
Tb1 0.8028 0.6057 0.5130
La2 0.1137 0.2273 0.7339
Tb2 0.1972 0.3943 0.0130
Tm1 0.4113 0.8226 0.4588
Y4 0.0153 0.0306 0.0212
Y5 0.4808 0.9617 0.7396
Y6 0.5192 0.0383 0.2396
Y7 0.6160 0.2320 0.5218
Y8 0.3840 0.7680 0.0218
Tm2 0.5887 0.1774 0.9588
Y9 0.7214 0.4427 0.8128
Y10 0.6997 0.3993 0.2037
La3 0.8863 0.7727 0.2339
La4 0.1149 0.2297 0.3191

The space group is Cmc2_1 (36). The calculation puts the density of states at the Fermi level at 12.6 states/eV/f.u. For the total energy, the calculation gives -5.562 eV per atom.

=====

Entry 6:
## AcGaC (PBE)

Data for a geometry-optimized AcGaC structure.

abc: 4.1615 4.1615 9.0780
angles: 103.25 103.25 90.00
Sites, in units of the cell vectors:
C1 0.1773 0.1773 0.3546
Ga1 0.0675 0.0675 0.1350
Ac1 0.3288 0.3288 0.6576
Ac2 0.6712 0.6712 0.3424
C2 0.8227 0.8227 0.6454
Ga2 0.9325 0.9325 0.8650

The space group is I4/mmm (139). The calculation puts the density of states at the Fermi level at 1.1 states/eV/f.u. For the total energy, the calculation gives -5.338 eV per atom.

=====

Entry 7:
## Sc12Cd3Tc (PBE)

Data for a geometry-optimized Sc12Cd3Tc structure.

abc: 4.6081 4.6081 16.9849
angles: 90.00 90.00 90.00
Last column: magnetic moment on the atom in μB.
Sites, in units of the cell vectors:
Sc1 0.5000 0.0000 0.6305  0.18
Sc2 0.0000 0.5000 0.1071  0.02
Cd1 0.0000 0.0000 0.5000  0.00
Sc3 0.5000 0.5000 0.5000  0.17
Sc4 0.0000 0.5000 0.6305  0.18
Sc5 0.5000 0.5000 0.2411  0.18
Sc6 0.5000 0.0000 0.1071  0.02
Sc7 0.0000 0.5000 0.8929  0.02
Sc8 0.5000 0.5000 0.0000  0.02
Cd2 0.0000 0.0000 0.2425  -0.01
Cd3 0.0000 0.0000 0.7575  -0.01
Tc1 0.0000 0.0000 0.0000  0.00
Sc9 0.5000 0.0000 0.3695  0.18
Sc10 0.5000 0.5000 0.7589  0.18
Sc11 0.5000 0.0000 0.8929  0.02
Sc12 0.0000 0.5000 0.3695  0.18

The space group is P4/mmm (123). The calculation puts the density of states at the Fermi level at 20.9 states/eV/f.u. For the total energy, the calculation gives -5.667 eV per atom.

=====

Entry 8:
## BaRh2W2 (PBE)

Data for a geometry-optimized BaRh2W2 structure.

abc: 8.1816 8.1816 2.8348
angles: 90.00 90.00 90.00
Sites, in units of the cell vectors:
W1 0.8419 0.3419 0.5000
Ba1 0.5000 0.5000 0.0000
Rh1 0.6240 0.1240 0.0000
Rh2 0.8760 0.6240 0.0000
Rh3 0.1240 0.3760 0.0000
W2 0.6581 0.8419 0.5000
Rh4 0.3760 0.8760 0.0000
W3 0.3419 0.1581 0.5000
Ba2 0.0000 0.0000 0.0000
W4 0.1581 0.6581 0.5000

The space group is P4/mbm (127). The calculation puts the density of states at the Fermi level at 9.5 states/eV/f.u. For the total energy, the calculation gives -7.933 eV per atom.